No. 1
Below is a relaxed PmEr2S3 crystal, with properties calculated at the PBE level.

Unit cell a=3.9124 b=5.5489 c=11.7919 alpha=90.00 beta=90.00 gamma=90.00
Last column: nearest neighbours and their distance in Å.
Positions (direct):
Pm 0.0000 0.0000 0.0000  6 S 2.77-2.86
Pm 0.5000 0.5000 0.5000  6 S 2.77-2.86
Er 0.0000 0.0000 0.3387  6 S 2.73-2.78
Er 0.0000 0.0000 0.6613  6 S 2.73-2.78
Er 0.5000 0.5000 0.1613  6 S 2.73-2.78
Er 0.5000 0.5000 0.8387  6 S 2.73-2.78
S 0.0000 0.5000 0.0000  4 Er 2.73, 2 Pm 2.77
S 0.0000 0.5000 0.3235  4 Er 2.74-2.78, 2 Pm 2.86
S 0.0000 0.5000 0.6765  4 Er 2.74-2.78, 2 Pm 2.86
S 0.5000 0.0000 0.1765  4 Er 2.74-2.78, 2 Pm 2.86
S 0.5000 0.0000 0.5000  4 Er 2.73, 2 Pm 2.77
S 0.5000 0.0000 0.8235  4 Er 2.74-2.78, 2 Pm 2.86

**Formation energy without anion corrections**: -1.975 eV/atom
**Space-group type**: No. 71
**Uncorrected energy**: -76.21 eV per cell


No. 2
Below is a relaxed TiMn3Ge crystal, with properties calculated at the PBE level.

Unit cell a=4.5626 b=4.5626 c=4.5626 alpha=90.00 beta=90.00 gamma=90.00
Last column: nearest neighbours and their distance in Å.
Positions (direct):
Ti 0.0000 0.0000 0.0000  12 Mn 3.23
Mn 0.0000 0.5000 0.5000  2 Ge 2.28
Mn 0.5000 0.0000 0.5000  2 Ge 2.28
Mn 0.5000 0.5000 0.0000  2 Ge 2.28
Ge 0.5000 0.5000 0.5000  6 Mn 2.28

**Energy of formation**: 699 meV/atom
**Excess energy over the best structure of this formula in the dataset**: 0.0000 eV/atom
**Space-group type**: No. 221
**Uncorrected energy**: -36.53 eV per cell


No. 3
Below is a relaxed SrLiV crystal, with properties calculated at the PBE level.

Unit cell a=4.2935 b=6.3991 c=6.4875 alpha=92.34 beta=109.03 gamma=92.34
Last column: nearest neighbours and their distance in Å.
Positions (direct):
Sr 0.0000 0.0000 0.0000  4 Li 3.23-3.56, 2 V 3.34-3.56
Sr 0.4180 0.4971 0.8082  4 V 3.29-3.68, 3 Li 3.53-3.64
Li 0.2324 0.9569 0.5212  3 V 2.82-2.96, 2 Li 2.98-3.06
Li 0.6986 0.2558 0.3868  3 V 2.84-3.14, 2 Li 2.98-3.06
V 0.1957 0.5726 0.2822  1 V 1.84
V 0.6150 0.6902 0.3355  1 V 1.84

**Energy of formation**: 452 meV/atom
**Excess energy over the best structure of this formula in the dataset**: 0.0000 eV/atom
**Space-group type**: No. 1
**Uncorrected energy**: -22.72 eV per cell


No. 4
Below is a relaxed NiHgGe2S crystal, with properties calculated at the PBE level.

Unit cell a=5.1413 b=5.1413 c=4.8230 alpha=90.00 beta=90.00 gamma=90.00
Last column: nearest neighbours and their distance in Å.
Positions (direct):
Ni 0.0000 0.0000 0.0000  2 Hg 2.41
Hg 0.0000 0.0000 0.5000  2 Ni 2.41, 4 Ge 2.57
Ge 0.0000 0.5000 0.5000  2 Hg 2.57
Ge 0.5000 0.0000 0.5000  2 Hg 2.57
S 0.5000 0.5000 0.0000  8 Ge 3.52, 4 Ni 3.64

**Formation energy without anion corrections**: 1.135 eV/atom
**Excess energy over the best structure of this formula in the dataset**: 0.0000 eV/atom
**Space-group type**: No. 123
**Uncorrected energy**: -13.77 eV per cell


No. 5
Below is a relaxed Ho6Si2Te3Se crystal, with properties calculated at the PBE level.

Unit cell a=9.5146 b=9.5146 c=8.5477 alpha=104.41 beta=104.41 gamma=25.40
Last column: nearest neighbours and their distance in Å.
Positions (direct):
Ho 0.0123 0.0123 0.2427  1 Si 2.78, 2 Se 2.91, 2 Te 3.09
Ho 0.3260 0.3260 0.4353  3 Si 2.86, 3 Te 3.13-3.16
Ho 0.3349 0.3349 0.8906  2 Si 2.83, 1 Se 2.97, 3 Te 3.11-3.14
Ho 0.6651 0.6651 0.1094  2 Si 2.83, 1 Se 2.97, 3 Te 3.11-3.14
Ho 0.6740 0.6740 0.5647  3 Si 2.86, 3 Te 3.13-3.16
Ho 0.9877 0.9877 0.7573  1 Si 2.78, 2 Se 2.91, 2 Te 3.09
Si 0.1671 0.1671 0.3327  6 Ho 2.78-2.86
Si 0.8329 0.8329 0.6673  6 Ho 2.78-2.86
Te 0.1628 0.1628 0.8343  6 Ho 3.11-3.16
Te 0.5000 0.5000 0.5000  6 Ho 3.09-3.13
Te 0.8372 0.8372 0.1657  6 Ho 3.11-3.16
Se 0.5000 0.5000 0.0000  6 Ho 2.91-2.97

**Formation energy without anion corrections**: -1.273 eV/atom
**Space-group type**: No. 12
**Uncorrected energy**: -66.49 eV per cell


No. 6
Below is a relaxed CaScCuHg2 crystal, with properties calculated at the PBE level.

Unit cell a=5.4627 b=5.4627 c=4.8635 alpha=90.00 beta=90.00 gamma=90.00
Last column: nearest neighbours and their distance in Å.
Positions (direct):
Ca 0.0000 0.0000 0.0000  8 Hg 3.66, 4 Cu 3.86
Sc 0.5000 0.5000 0.5000  2 Cu 2.43
Cu 0.5000 0.5000 0.0000  2 Sc 2.43
Hg 0.0000 0.5000 0.5000  2 Sc 2.73
Hg 0.5000 0.0000 0.5000  2 Sc 2.73

**Energy of formation**: 183 meV/atom
**Space-group type**: No. 123
**Uncorrected energy**: -12.12 eV per cell


No. 7
Below is a relaxed La5PmNdEr2 crystal, with properties calculated at the PBE level.

Unit cell a=10.7929 b=10.7929 c=10.7465 alpha=90.00 beta=90.00 gamma=148.95
Last column: nearest neighbours and their distance in Å.
Positions (direct):
La 0.0159 0.9841 0.5000  2 Nd 3.34, 3 Er 3.50-3.64
La 0.2793 0.7207 0.2008  1 Nd 3.10, 1 Er 3.39
La 0.2950 0.7050 0.8121  3 La 3.49-3.89, 3 Pm 3.55-3.88, 1 Nd 3.61, 3 Er 3.63-3.78
La 0.3863 0.6137 0.4937  6 La 3.60-3.95, 4 Er 3.66-3.69, 1 Pm 3.92
La 0.4811 0.5189 0.7736  2 Nd 3.19-3.44
La 0.5189 0.4811 0.2736  2 Nd 3.19-3.44
La 0.6137 0.3863 0.9937  6 La 3.60-3.95, 4 Er 3.66-3.69, 1 Pm 3.92
La 0.7050 0.2950 0.3121  3 La 3.49-3.89, 3 Pm 3.55-3.88, 1 Nd 3.61, 3 Er 3.63-3.78
La 0.7207 0.2793 0.7008  1 Nd 3.10, 1 Er 3.39
La 0.9841 0.0159 0.0000  2 Nd 3.34, 3 Er 3.50-3.64
Pm 0.1978 0.8022 0.5043  2 Er 3.44-3.66, 6 La 3.55-3.78, 2 Nd 3.72
Pm 0.8022 0.1978 0.0043  2 Er 3.44-3.66, 6 La 3.55-3.78, 2 Nd 3.72
Nd 0.4103 0.5897 0.0633  5 La 3.10-3.44
Nd 0.5897 0.4103 0.5633  5 La 3.10-3.44
Er 0.1142 0.8858 0.7805  1 Pm 3.44, 7 La 3.59-3.78, 2 Nd 3.75
Er 0.1161 0.8839 0.2027  8 La 3.39-3.66, 1 Pm 3.66
Er 0.8839 0.1161 0.7027  8 La 3.39-3.66, 1 Pm 3.66
Er 0.8858 0.1142 0.2805  1 Pm 3.44, 7 La 3.59-3.78, 2 Nd 3.75

**Energy of formation**: 138 meV/atom
**Space-group type**: No. 36
**Uncorrected energy**: -84.08 eV per cell


No. 8
Below is a relaxed ZnGa2Pd8 crystal, with properties calculated at the PBE level.

Unit cell a=7.1451 b=7.1451 c=7.1451 alpha=146.65 beta=121.06 gamma=69.44
Last column: nearest neighbours and their distance in Å.
Positions (direct):
Zn 0.0000 0.0000 0.0000  8 Pd 2.65-2.71
Ga 0.3072 0.3072 0.0000  10 Pd 2.60-2.81
Ga 0.6928 0.6928 0.0000  10 Pd 2.60-2.81
Pd 0.1178 0.8398 0.2781  3 Ga 2.60-2.61, 1 Zn 2.71, 5 Pd 2.78-2.84
Pd 0.1435 0.6435 0.5000  2 Zn 2.65, 8 Pd 2.74-2.84, 2 Ga 2.81
Pd 0.3073 0.5000 0.8073  2 Ga 2.64, 7 Pd 2.71-2.79
Pd 0.4383 0.1602 0.2781  3 Ga 2.60-2.61, 1 Zn 2.71, 5 Pd 2.78-2.84
Pd 0.5617 0.8398 0.7219  3 Ga 2.60-2.61, 1 Zn 2.71, 5 Pd 2.78-2.84
Pd 0.6927 0.5000 0.1927  2 Ga 2.64, 7 Pd 2.71-2.79
Pd 0.8565 0.3565 0.5000  2 Zn 2.65, 8 Pd 2.74-2.84, 2 Ga 2.81
Pd 0.8822 0.1602 0.7219  3 Ga 2.60-2.61, 1 Zn 2.71, 5 Pd 2.78-2.84

**Energy of formation**: -444 meV/atom
**Excess energy over the best structure of this formula in the dataset**: 0.0043 eV/atom
**Space-group type**: No. 71
**Uncorrected energy**: -53.76 eV per cell


No. 9
Below is a relaxed MgSiRu crystal, with properties calculated at the PBE level.

Unit cell a=3.1003 b=3.1003 c=9.2694 alpha=90.00 beta=90.00 gamma=90.00
Last column: nearest neighbours and their distance in Å.
Positions (direct):
Mg 0.0000 0.0000 0.0000  5 Ru 2.82-2.87, 5 Si 2.83-2.85, 4 Mg 3.10
Mg 0.5000 0.5000 0.5000  5 Ru 2.82-2.87, 5 Si 2.83-2.85, 4 Mg 3.10
Si 0.0000 0.0000 0.6929  4 Ru 2.44
Si 0.5000 0.5000 0.1929  4 Ru 2.44
Ru 0.0000 0.0000 0.3091  4 Si 2.44
Ru 0.5000 0.5000 0.8091  4 Si 2.44

**Formation energy without anion corrections**: -0.468 eV/atom
**Space-group type**: No. 107
**Uncorrected energy**: -35.40 eV per cell


No. 10
Below is a relaxed Er4TlTe5 crystal, with properties calculated at the PBE level.

Unit cell a=10.1177 b=10.1177 c=9.2892 alpha=106.23 beta=106.23 gamma=24.02
Last column: nearest neighbours and their distance in Å.
Positions (direct):
Er 0.0143 0.0143 0.2377  4 Te 2.99-3.02, 2 Tl 3.29
Er 0.3304 0.3304 0.4424  5 Te 2.99-3.07, 1 Tl 3.24
Er 0.6696 0.6696 0.5576  5 Te 2.99-3.07, 1 Tl 3.24
Er 0.9857 0.9857 0.7623  4 Te 2.99-3.02, 2 Tl 3.29
Tl 0.5000 0.5000 0.5000  6 Er 3.24-3.29
Te 0.1366 0.1366 0.7633  3 Er 2.99-3.04
Te 0.1734 0.1734 0.3198  4 Er 2.99-3.07
Te 0.5000 0.5000 0.0000  4 Er 3.00
Te 0.8266 0.8266 0.6802  4 Er 2.99-3.07
Te 0.8634 0.8634 0.2367  3 Er 2.99-3.04

**Formation energy without anion corrections**: -1.025 eV/atom
**Space-group type**: No. 12
**Uncorrected energy**: -46.58 eV per cell


No. 11
Below is a relaxed ReBiPb3 crystal, with properties calculated at the PBE level.

Unit cell a=5.3941 b=5.3941 c=5.3941 alpha=90.00 beta=90.00 gamma=90.00
Last column: nearest neighbours and their distance in Å.
Positions (direct):
Re 0.0000 0.0000 0.0000  6 Pb 2.70
Bi 0.5000 0.5000 0.5000  12 Pb 3.81
Pb 0.0000 0.0000 0.5000  2 Re 2.70
Pb 0.0000 0.5000 0.0000  2 Re 2.70
Pb 0.5000 0.0000 0.0000  2 Re 2.70

**Energy of formation**: 612 meV/atom
**Excess energy over the best structure of this formula in the dataset**: 0.0000 eV/atom
**Space-group type**: No. 221
**Uncorrected energy**: -24.39 eV per cell


No. 12
Below is a relaxed CsRb2Cd2 crystal, with properties calculated at the PBE level.

Unit cell a=14.9696 b=5.3625 c=7.3838 alpha=90.00 beta=102.15 gamma=90.00
Last column: nearest neighbours and their distance in Å.
Positions (direct):
Cs 0.0000 0.0000 0.0000  6 Cd 4.15-4.34
Cs 0.5000 0.5000 0.0000  6 Cd 4.15-4.34
Rb 0.1497 0.5000 0.5639  4 Cd 3.73-4.05
Rb 0.3503 0.0000 0.4361  4 Cd 3.73-4.05
Rb 0.6497 0.0000 0.5639  4 Cd 3.73-4.05
Rb 0.8503 0.5000 0.4361  4 Cd 3.73-4.05
Cd 0.2332 0.5000 0.0764  2 Cd 2.99
Cd 0.2668 0.0000 0.9236  2 Cd 2.99
Cd 0.7332 0.0000 0.0764  2 Cd 2.99
Cd 0.7668 0.5000 0.9236  2 Cd 2.99

**Energy of formation**: -31 meV/atom
**Excess energy over the best structure of this formula in the dataset**: 0.0000 eV/atom
**Space-group type**: No. 12
**Uncorrected energy**: -9.55 eV per cell